w) ## PmNdGaPd (PBE-GGA)

Data for a relaxed structure of PmNdGaPd.

The value obtained for the mass density is 7.9 g/cm³. Its volume is 24.563 Å³/atom.

The structure belongs to space group F-43m (No. 216); the cell edges are 7.3248, 7.3248 and 7.3248 Å and the angles 90.00°, 90.00° and 90.00°. The inequivalent atoms are Pm at (0.0000, 0.0000, 0.0000), Nd at (0.0000, 0.0000, 0.5000), Ga at (0.2500, 0.2500, 0.2500) and Pd at (0.2500, 0.2500, 0.7500).


x) ## PmNdGaPd (PBE-GGA)

Data for a relaxed structure of PmNdGaPd.

The value obtained for the mass density is 7.7 g/cm³. Its volume is 25.194 Å³/atom.

The structure belongs to space group Amm2 (No. 38); the cell edges are 4.4966, 3.9780 and 11.2676 Å and the angles 90.00°, 90.00° and 90.00°. The inequivalent atoms are Pm at (0.0000, 0.0000, 0.0000), Nd at (0.5000, 0.0000, 0.7168), Ga at (0.0000, 0.0000, 0.2853) and Pd at (0.5000, 0.0000, 0.4324).


Pick the least stable structure from those above. Pick: w)